Entry 1:
Material: HfMoPt2I
Method: DFT, PBEsol
State: optimized geometry

Cell lengths 4.893, 4.893, 5.041 Å; angles 90.00, 90.00, 90.00 degrees
Element x y z (fractional)
Mo (0.000, 0.000, 0.500)
I (0.500, 0.500, 0.500)
Pt (0.000, 0.500, 0.000)
Pt (0.500, 0.000, 0.000)
Hf (0.000, 0.000, 0.000)

Summary:
D(E_F) = 4.48 states/eV/cell
total moment = 0.520 μB per atom
VASP energy = -31.24 eV per formula unit



Entry 2:
Material: Ba2SrCd
Method: DFT, PBEsol
State: optimized geometry

Cell lengths 4.216, 4.216, 10.304 Å; angles 90.00, 90.00, 90.00 degrees
Element x y z (fractional)
Cd (0.500, 0.500, 0.500)
Ba (0.000, 0.000, 0.310)
Ba (0.000, 0.000, 0.690)
Sr (0.500, 0.500, 0.000)

Summary:
D(E_F) = 4.64 states/eV/cell
total moment = 0.000 μB per atom
VASP energy = -7.97 eV per formula unit
E_form = -0.16 eV per atom



Entry 3:
Material: Y2AlAs
Method: DFT, PBEsol
State: optimized geometry

Cell lengths 4.639, 5.260, 4.639 Å; angles 63.83, 90.00, 116.17 degrees
Element x y z (fractional)
Y (0.750, 0.500, 0.750)
As (0.000, 0.000, 0.000)
Al (0.500, 0.000, 0.500)
Y (0.250, 0.500, 0.250)

Summary:
D(E_F) = 3.63 states/eV/cell
total moment = 0.000 μB per atom
VASP energy = -25.37 eV per formula unit
polymorph energy (0 for the lowest one) = 47 meV per atom
E_form = -0.63 eV per atom



Entry 4:
Material: Rb2InAs
Method: DFT, PBEsol
State: optimized geometry

Cell lengths 5.760, 5.760, 5.760 Å; angles 60.00, 60.00, 60.00 degrees
Element x y z (fractional)
Rb (0.750, 0.750, 0.750)
In (0.500, 0.500, 0.500)
As (0.000, 0.000, 0.000)
Rb (0.250, 0.250, 0.250)

Summary:
total moment = 0.000 μB per atom
VASP energy = -10.05 eV per formula unit
E_form = 0.02 eV per atom



Entry 5:
Material: BaYAg2
Method: DFT, PBEsol
State: optimized geometry

Cell lengths 3.754, 3.754, 7.674 Å; angles 90.00, 90.00, 90.00 degrees
Element x y z (fractional)
Ag (0.000, 0.000, 0.304)
Ag (0.000, 0.000, 0.696)
Ba (0.500, 0.500, 0.000)
Y (0.500, 0.500, 0.500)

Summary:
D(E_F) = 3.64 states/eV/cell
total moment = 0.000 μB per atom
VASP energy = -16.56 eV per formula unit
polymorph energy (0 for the lowest one) = 0 meV per atom
E_form = -0.24 eV per atom



Entry 6:
Material: Li3MnSi6O15
Method: DFT, PBEsol
State: optimized geometry

Cell lengths 9.991, 11.008, 11.008 Å; angles 100.69, 90.00, 90.00 degrees
Element x y z (fractional)
O (0.659, 0.964, 0.744)
Li (0.824, 0.941, 0.059)
O (0.840, 0.832, 0.857)
Si (0.960, 0.699, 0.081)
O (0.829, 0.989, 0.358)
O (0.592, 0.742, 0.899)
Li (0.500, 0.262, 0.262)
O (0.341, 0.744, 0.964)
O (0.928, 0.841, 0.159)
O (0.428, 0.659, 0.341)
O (0.808, 0.062, 0.938)
O (0.159, 0.536, 0.756)
Si (0.304, 0.311, 0.458)
Li (0.000, 0.238, 0.238)
Li (0.000, 0.762, 0.762)
O (0.840, 0.143, 0.168)
Si (0.460, 0.801, 0.419)
Li (0.500, 0.738, 0.738)
O (0.481, 0.326, 0.887)
Si (0.696, 0.458, 0.311)
Si (0.960, 0.919, 0.301)
Si (0.460, 0.581, 0.199)
Si (0.540, 0.199, 0.581)
O (0.329, 0.511, 0.142)
O (0.671, 0.489, 0.858)
O (0.408, 0.258, 0.101)
Si (0.995, 0.517, 0.266)
Si (0.495, 0.983, 0.234)
Li (0.250, 0.013, 0.487)
O (0.588, 0.490, 0.211)
O (0.912, 0.990, 0.711)
Si (0.505, 0.234, 0.983)
O (0.592, 0.101, 0.258)
O (0.092, 0.758, 0.601)
O (0.171, 0.358, 0.989)
Mn (0.250, 0.341, 0.159)
Si (0.540, 0.419, 0.801)
O (0.192, 0.938, 0.062)
Li (0.676, 0.441, 0.559)
Si (0.005, 0.266, 0.517)
O (0.412, 0.211, 0.490)
O (0.092, 0.399, 0.242)
O (0.519, 0.674, 0.113)
O (0.341, 0.036, 0.256)
O (0.308, 0.438, 0.562)
O (0.160, 0.168, 0.143)
O (0.660, 0.643, 0.668)
Mn (0.750, 0.659, 0.841)
Si (0.040, 0.301, 0.919)
O (0.659, 0.256, 0.036)
O (0.340, 0.357, 0.332)
Li (0.250, 0.513, 0.987)
Li (0.750, 0.487, 0.013)
O (0.513, 0.908, 0.092)
Si (0.040, 0.081, 0.699)
Si (0.505, 0.017, 0.766)
O (0.487, 0.092, 0.908)
Si (0.005, 0.483, 0.734)
O (0.408, 0.899, 0.742)
O (0.329, 0.858, 0.489)
Si (0.196, 0.042, 0.189)
Si (0.196, 0.811, 0.958)
O (0.072, 0.159, 0.841)
O (0.841, 0.756, 0.536)
Si (0.995, 0.734, 0.483)
O (0.088, 0.010, 0.289)
O (0.519, 0.887, 0.326)
O (0.588, 0.789, 0.510)
O (0.660, 0.332, 0.357)
Si (0.696, 0.689, 0.542)
O (0.981, 0.387, 0.826)
Li (0.750, 0.987, 0.513)
Mn (0.750, 0.159, 0.341)
O (0.160, 0.857, 0.832)
O (0.692, 0.562, 0.438)
Si (0.804, 0.958, 0.811)
O (0.019, 0.826, 0.387)
O (0.171, 0.011, 0.642)
O (0.088, 0.711, 0.990)
O (0.340, 0.668, 0.643)
Mn (0.250, 0.841, 0.659)
O (0.908, 0.601, 0.758)
O (0.829, 0.642, 0.011)
Si (0.304, 0.542, 0.689)
O (0.572, 0.341, 0.659)
O (0.912, 0.289, 0.010)
O (0.671, 0.142, 0.511)
Si (0.495, 0.766, 0.017)
Si (0.804, 0.189, 0.042)
O (0.981, 0.174, 0.613)
O (0.987, 0.408, 0.592)
O (0.013, 0.592, 0.408)
O (0.412, 0.510, 0.789)
O (0.908, 0.242, 0.399)
O (0.159, 0.244, 0.464)
O (0.841, 0.464, 0.244)
O (0.019, 0.613, 0.174)
Li (0.324, 0.559, 0.441)
O (0.481, 0.113, 0.674)
Li (0.176, 0.059, 0.941)

Summary:
D(E_F) = 2.43 states/eV/cell
total moment = 0.160 μB per atom
VASP energy = -192.61 eV per formula unit



Entry 7:
Material: CoHgO2F
Method: DFT, PBEsol
State: optimized geometry

Cell lengths 4.154, 4.154, 4.243 Å; angles 90.00, 90.00, 90.00 degrees
Element x y z (fractional)
O (0.500, 0.000, 0.000)
Co (0.500, 0.500, 0.500)
O (0.000, 0.500, 0.000)
F (0.000, 0.000, 0.500)
Hg (0.000, 0.000, 0.000)

Summary:
D(E_F) = 2.92 states/eV/cell
total moment = 0.571 μB per atom
VASP energy = -18.36 eV per formula unit



Entry 8:
Material: AgPbI3
Method: DFT, PBEsol
State: optimized geometry

Cell lengths 6.088, 6.088, 6.088 Å; angles 90.00, 90.00, 90.00 degrees
Element x y z (fractional)
Ag (0.500, 0.500, 0.500)
Pb (0.000, 0.000, 0.000)
I (0.500, 0.000, 0.000)
I (0.000, 0.500, 0.000)
I (0.000, 0.000, 0.500)

Summary:
D(E_F) = 0.86 states/eV/cell
total moment = 0.000 μB per atom
VASP energy = -11.87 eV per formula unit



Entry 9:
Material: LaC3Se
Method: DFT, PBEsol
State: optimized geometry

Cell lengths 4.015, 4.015, 4.015 Å; angles 90.00, 90.00, 90.00 degrees
Element x y z (fractional)
C (0.000, 0.000, 0.500)
C (0.500, 0.000, 0.000)
Se (0.000, 0.000, 0.000)
La (0.500, 0.500, 0.500)
C (0.000, 0.500, 0.000)

Summary:
D(E_F) = 3.17 states/eV/cell
total moment = 0.000 μB per atom
VASP energy = -30.03 eV per formula unit



Entry 10:
Material: BaTlBr2
Method: DFT, PBEsol
State: optimized geometry

Cell lengths 3.863, 3.994, 9.108 Å; angles 90.00, 90.05, 90.00 degrees
Element x y z (fractional)
Br (0.500, 0.000, 0.696)
Tl (0.500, 0.500, 0.000)
Ba (0.000, 0.500, 0.500)
Br (0.500, 0.000, 0.304)

Summary:
D(E_F) = 1.73 states/eV/cell
total moment = 0.000 μB per atom
VASP energy = -13.77 eV per formula unit
polymorph energy (0 for the lowest one) = 0 meV per atom



Entry 11:
Material: Al2CoReSn
Method: DFT, PBEsol
State: optimized geometry

Cell lengths 4.388, 4.388, 4.504 Å; angles 90.00, 90.00, 90.00 degrees
Element x y z (fractional)
Re (0.000, 0.000, 0.500)
Al (0.500, 0.000, 0.000)
Sn (0.500, 0.500, 0.500)
Al (0.000, 0.500, 0.000)
Co (0.000, 0.000, 0.000)

Summary:
D(E_F) = 4.00 states/eV/cell
total moment = 0.000 μB per atom
VASP energy = -31.10 eV per formula unit
E_form = 0.48 eV per atom



Entry 12:
Material: ReSiSe2
Method: DFT, PBEsol
State: optimized geometry

Cell lengths 5.650, 5.650, 6.794 Å; angles 114.57, 114.57, 90.00 degrees
Element x y z (fractional)
Re (0.000, 0.000, 0.000)
Se (0.125, 0.110, 0.750)
Si (0.500, 0.500, 0.000)
Se (0.625, 0.640, 0.750)
Se (0.890, 0.375, 0.250)
Re (0.250, 0.750, 0.500)
Se (0.360, 0.875, 0.250)
Si (0.750, 0.250, 0.500)

Summary:
D(E_F) = 3.12 states/eV/cell
total moment = 0.000 μB per atom
VASP energy = -24.33 eV per formula unit